Entry from Alexandria via LeMat-Bulk: a relaxed structure of ZrCo2Re (GGA-PBE).

Computed properties:
- E above lowest polymorph: 575 meV/atom
- SG: I-42d

a b c (Å): 3.9385 3.9385 8.8103
angles (deg): 77.08 77.08 90.00
Closest atoms and distances in Å follow each position.
Fractional positions:
Re (0.0000, 0.0000, 0.0000)  4 Co 2.43
Re (0.7500, 0.2500, 0.5000)  4 Co 2.43
Co (0.6806, 0.1250, 0.2500)  2 Re 2.43, 2 Co 2.49, 2 Zr 2.60
Co (0.0694, 0.6250, 0.2500)  2 Re 2.43, 2 Co 2.49, 2 Zr 2.60
Co (0.3750, 0.3194, 0.7500)  2 Re 2.43, 2 Co 2.49, 2 Zr 2.60
Co (0.8750, 0.9306, 0.7500)  2 Re 2.43, 2 Co 2.49, 2 Zr 2.60
Zr (0.5000, 0.5000, 0.0000)  4 Co 2.60, 4 Re 2.78
Zr (0.2500, 0.7500, 0.5000)  4 Co 2.60, 4 Re 2.78